# PBE Ba8Sb2N, relaxed
data_Ba8Sb2N
_cell_length_a 24.598
_cell_length_b 5.753
_cell_length_c 7.530
_cell_angle_alpha 90.00
_cell_angle_beta 106.62
_cell_angle_gamma 90.00
_space_group_name_H-M_alt 'C 1 2/m 1'
_space_group_IT_number 12
loop_
_space_group_symop_operation_xyz
'x,y,z'
'-x,-y,-z'
'-x,y,-z'
'x,-y,z'
'x+1/2,y+1/2,z'
'-x+1/2,-y+1/2,-z'
'-x+1/2,y+1/2,-z'
'x+1/2,-y+1/2,z'
loop_
_atom_site_label
_atom_site_type_symbol
_atom_site_fract_x
_atom_site_fract_y
_atom_site_fract_z
_atom_site_occupancy
Ba1 Ba 0.047 0.000 0.329 1
Ba2 Ba 0.070 0.500 0.815 1
Ba3 Ba 0.168 0.500 0.446 1
Ba4 Ba 0.213 0.000 0.821 1
Sb1 Sb 0.193 0.000 0.254 1
N1 N 0.000 0.500 0.500 1
# uncorrected formation energy	-4.1	eV/f.u.
# V	46.4	Å³ per atom
# DOS(E_F)	7.62	states/eV/f.u.